Version w
{"formula": "Er2PuTe", "functional": "PBE", "state": "optimized geometry", "lattice_angstrom": [[3.788, 0.000, 0.000], [0.000, 3.788, 0.000], [0.000, 0.000, 7.728]], "species": ["Er", "Er", "Te", "Pu"], "frac_coords": [[0.000, 0.000, 0.730], [0.000, 0.000, 0.270], [0.500, 0.500, 0.500], [0.500, 0.500, 0.000]], "magnetic_moment_mub_per_cell": 6.2, "crystal_system": "tetragonal", "spacegroup": "P4/mmm (123)", "n_ef_per_ev_cell": 7.33}

=====

Version x
{"formula": "Er2PuTe", "functional": "PBE", "state": "optimized geometry", "lattice_angstrom": [[3.783, 0.000, 0.000], [1.892, 3.276, 0.000], [1.892, 1.092, 9.807]], "species": ["Er", "Er", "Pu", "Te"], "frac_coords": [[0.073, 0.073, 0.781], [0.260, 0.260, 0.219], [0.500, 0.500, 0.500], [0.667, 0.667, 0.000]], "magnetic_moment_mub_per_cell": 7.0, "crystal_system": "trigonal", "spacegroup": "R3m (160)", "n_ef_per_ev_cell": 10.63}

=====

Version y
{"formula": "Er2PuTe", "functional": "PBE", "state": "optimized geometry", "lattice_angstrom": [[4.645, 0.000, 0.000], [0.000, 4.776, 0.000], [0.000, 0.000, 4.776]], "species": ["Er", "Er", "Te", "Pu"], "frac_coords": [[0.000, 0.000, 0.500], [0.000, 0.500, 0.000], [0.500, 0.000, 0.000], [0.500, 0.500, 0.500]], "magnetic_moment_mub_per_cell": 6.5, "crystal_system": "tetragonal", "spacegroup": "P4/mmm (123)", "n_ef_per_ev_cell": 9.65}

=====

Version z
{"formula": "Er2PuTe", "functional": "PBE", "state": "optimized geometry", "lattice_angstrom": [[3.737, 0.000, 0.000], [1.868, 3.236, 0.000], [1.868, 1.079, 10.668]], "species": ["Er", "Er", "Te", "Pu"], "frac_coords": [[0.101, 0.101, 0.697], [0.899, 0.899, 0.303], [0.500, 0.500, 0.500], [0.000, 0.000, 0.000]], "magnetic_moment_mub_per_cell": 6.9, "crystal_system": "trigonal", "spacegroup": "R-3m (166)", "n_ef_per_ev_cell": 11.20}

=====

What should be chosen as the most stable of them? Choose version w.

=====

Version w
{"formula": "ErPuTl2", "functional": "PBE", "state": "optimized geometry", "lattice_angstrom": [[-0.680, -0.960, -3.191], [2.449, -2.352, 0.186], [-6.164, -6.166, 3.168]], "species": ["Tl", "Tl", "Er", "Pu"], "frac_coords": [[0.000, 0.000, 0.756], [0.000, 0.000, 0.244], [0.500, 0.500, 0.000], [0.500, 0.500, 0.500]], "magnetic_moment_mub_per_cell": 5.6, "crystal_system": "tetragonal", "spacegroup": "P4/mmm (123)", "n_ef_per_ev_cell": 8.67}

=====

Version x
{"formula": "ErPuTl2", "functional": "PBE", "state": "optimized geometry", "lattice_angstrom": [[3.552, 0.000, 0.000], [1.776, 3.076, 0.000], [1.776, 1.025, 10.431]], "species": ["Er", "Pu", "Tl", "Tl"], "frac_coords": [[0.667, 0.667, 0.999], [0.500, 0.500, 0.501], [0.081, 0.081, 0.756], [0.252, 0.252, 0.243]], "magnetic_moment_mub_per_cell": 6.1, "crystal_system": "trigonal", "spacegroup": "R3m (160)", "n_ef_per_ev_cell": 10.36}

=====

Version y
{"formula": "ErPuTl2", "functional": "PBE", "state": "optimized geometry", "lattice_angstrom": [[-4.283, 0.954, 0.672], [-0.981, -1.065, -4.737], [-0.856, -4.719, 1.238]], "species": ["Tl", "Tl", "Er", "Pu"], "frac_coords": [[0.000, 0.000, 0.500], [0.000, 0.500, 0.000], [0.500, 0.000, 0.000], [0.500, 0.500, 0.500]], "magnetic_moment_mub_per_cell": 6.3, "crystal_system": "tetragonal", "spacegroup": "P4/mmm (123)", "n_ef_per_ev_cell": 11.46}

=====

What should be chosen as the most stable of them? Choose version w.

=====

Version w
{"formula": "ErPu2Tl", "functional": "PBE", "state": "optimized geometry", "lattice_angstrom": [[-2.088, -4.600, 1.186], [1.839, 0.228, 4.126], [-3.709, 2.081, 1.539]], "species": ["Tl", "Er", "Pu", "Pu"], "frac_coords": [[0.500, 0.000, 0.000], [0.500, 0.500, 0.500], [0.000, 0.000, 0.500], [0.000, 0.500, 0.000]], "magnetic_moment_mub_per_cell": 12.0, "crystal_system": "tetragonal", "spacegroup": "P4/mmm (123)", "n_ef_per_ev_cell": 10.36}

=====

Version x
{"formula": "ErPu2Tl", "functional": "PBE", "state": "optimized geometry", "lattice_angstrom": [[5.399, 0.000, 0.000], [2.700, 4.676, 0.000], [2.700, 1.559, 4.408]], "species": ["Tl", "Er", "Pu", "Pu"], "frac_coords": [[0.500, 0.500, 0.500], [0.000, 0.000, 0.000], [0.250, 0.250, 0.250], [0.750, 0.750, 0.750]], "magnetic_moment_mub_per_cell": 12.4, "crystal_system": "cubic", "spacegroup": "Fm-3m (225)", "n_ef_per_ev_cell": 14.28}

=====

What should be chosen as the most stable of them? Choose version w.

=====

Version w
{"formula": "Er2PuTl", "functional": "PBE", "state": "optimized geometry", "lattice_angstrom": [[3.488, 0.000, 0.000], [1.744, 3.020, 0.000], [1.744, 1.007, 10.816]], "species": ["Tl", "Er", "Er", "Pu"], "frac_coords": [[0.000, 0.000, 0.000], [0.252, 0.252, 0.243], [0.748, 0.748, 0.757], [0.500, 0.500, 0.500]], "magnetic_moment_mub_per_cell": 6.1, "crystal_system": "trigonal", "spacegroup": "R-3m (166)", "n_ef_per_ev_cell": 11.14}

=====

Version x
{"formula": "Er2PuTl", "functional": "PBE", "state": "optimized geometry", "lattice_angstrom": [[4.603, 0.000, 0.000], [0.000, 4.887, 0.000], [0.000, 0.000, 4.887]], "species": ["Tl", "Er", "Er", "Pu"], "frac_coords": [[0.500, 0.000, 0.000], [0.000, 0.000, 0.500], [0.000, 0.500, 0.000], [0.500, 0.500, 0.500]], "magnetic_moment_mub_per_cell": 6.8, "crystal_system": "tetragonal", "spacegroup": "P4/mmm (123)", "n_ef_per_ev_cell": 10.47}

=====

Version y
{"formula": "Er2PuTl", "functional": "PBE", "state": "optimized geometry", "lattice_angstrom": [[-4.711, 2.457, 0.874], [-4.473, -1.831, -2.373], [-3.802, -2.434, 2.935]], "species": ["Tl", "Er", "Er", "Pu"], "frac_coords": [[0.000, 0.000, 0.000], [0.250, 0.250, 0.250], [0.750, 0.750, 0.750], [0.500, 0.500, 0.500]], "magnetic_moment_mub_per_cell": 6.9, "crystal_system": "cubic", "spacegroup": "Fm-3m (225)", "n_ef_per_ev_cell": 14.07}

=====

What should be chosen as the most stable of them? Choose version x.

=====

Version w
{"formula": "ErTm4Pu", "functional": "PBE", "state": "optimized geometry", "lattice_angstrom": [[8.465, -1.557, 0.000], [-4.842, 7.115, 0.000], [-1.811, -2.779, 7.942]], "species": ["Er", "Er", "Tm", "Tm", "Tm", "Tm", "Tm", "Tm", "Tm", "Tm", "Pu", "Pu"], "frac_coords": [[0.230, 0.230, 0.000], [0.980, 0.480, 0.500], [0.260, 0.988, 0.728], [0.749, 0.496, 0.747], [0.738, 0.510, 0.228], [0.246, 0.999, 0.247], [0.282, 0.510, 0.772], [0.751, 0.999, 0.753], [0.749, 0.001, 0.253], [0.260, 0.532, 0.272], [0.752, 0.752, 0.000], [0.502, 0.002, 0.500]], "magnetic_moment_mub_per_cell": 13.0, "crystal_system": "tetragonal", "spacegroup": "I4_1md (109)", "n_ef_per_ev_cell": 16.30}

=====

Version x
{"formula": "ErTm4Pu", "functional": "PBE", "state": "optimized geometry", "lattice_angstrom": [[3.478, 0.000, 0.000], [-1.739, 9.046, 0.000], [0.000, 0.000, 11.246]], "species": ["Er", "Er", "Tm", "Tm", "Tm", "Tm", "Tm", "Tm", "Tm", "Tm", "Pu", "Pu"], "frac_coords": [[0.778, 0.556, 0.515], [0.222, 0.444, 0.015], [0.999, 0.999, 0.270], [0.001, 0.001, 0.770], [0.889, 0.778, 0.022], [0.111, 0.222, 0.522], [0.668, 0.335, 0.268], [0.332, 0.665, 0.768], [0.444, 0.887, 0.518], [0.556, 0.113, 0.018], [0.666, 0.333, 0.768], [0.334, 0.667, 0.268]], "magnetic_moment_mub_per_cell": 12.0, "crystal_system": "orthorhombic", "spacegroup": "Cmc2_1 (36)", "n_ef_per_ev_cell": 24.23}

=====

What should be chosen as the most stable of them? Choose version x.

=====

Version w
{"formula": "Er5Tm4Pu", "functional": "PBE", "state": "optimized geometry", "lattice_angstrom": [[3.359, -0.065, -0.829], [0.888, 10.752, 2.762], [0.767, 6.164, 9.847]], "species": ["Er", "Er", "Er", "Er", "Er", "Tm", "Tm", "Tm", "Tm", "Pu"], "frac_coords": [[0.190, 0.198, 0.380], [0.211, 0.696, 0.421], [0.789, 0.304, 0.579], [0.500, 0.500, 0.000], [0.810, 0.802, 0.620], [0.605, 0.085, 0.210], [0.916, 0.373, 0.831], [0.395, 0.915, 0.790], [0.084, 0.627, 0.169], [0.500, 0.000, 0.000]], "magnetic_moment_mub_per_cell": 6.3, "crystal_system": "monoclinic", "spacegroup": "C2/m (12)", "n_ef_per_ev_cell": 17.64}

=====

Version x
{"formula": "Er5Tm4Pu", "functional": "PBE", "state": "optimized geometry", "lattice_angstrom": [[-4.590, 0.198, -2.768], [1.596, -0.254, -7.861], [-2.717, -7.451, -1.226]], "species": ["Er", "Er", "Er", "Er", "Er", "Tm", "Tm", "Tm", "Tm", "Pu"], "frac_coords": [[0.816, 0.369, 0.000], [0.185, 0.000, 0.631], [0.816, 0.000, 0.369], [0.185, 0.631, 0.000], [0.503, 0.000, 0.000], [0.500, 0.326, 0.674], [0.827, 0.674, 0.674], [0.174, 0.326, 0.326], [0.500, 0.674, 0.326], [0.003, 0.000, 0.000]], "magnetic_moment_mub_per_cell": 5.7, "crystal_system": "tetragonal", "spacegroup": "I4mm (107)", "n_ef_per_ev_cell": 11.86}

=====

What should be chosen as the most stable of them? Choose version w.